# 1
This record from OQMD via LeMat-Bulk describes a relaxed structure of KRbGd2Sb2. The functional is GGA-PBE.

```
6
Lattice="-1.225 4.671 2.058 -5.036 -0.759 -1.273 -1.373 -3.734 7.657" Properties=species:S:1:pos:R:3 pbc="T T T"
Gd -1.296 0.475 4.844
Gd -3.202 -2.240 3.178
K -0.186 -0.507 1.040
Rb -4.323 -1.289 7.047
Sb -3.546 0.825 2.711
Sb -0.955 -2.598 5.327
```

Calculated values
SG	P4mm (99)


# 2
This record from OQMD via LeMat-Bulk describes a relaxed structure of PrAgB4. The functional is GGA-PBE.

```
6
Lattice="0.873 -3.932 3.434 3.965 1.579 3.131 -5.001 0.909 -1.476" Properties=species:S:1:pos:R:3 pbc="T T T"
Ag 2.419 -1.176 3.283
B -0.074 -1.568 2.310
B 1.406 1.219 2.070
B -1.570 -2.663 3.020
B -0.089 0.124 2.779
Pr 0.000 0.000 0.000
```

Calculated values
SG	Immm (71)


# 3
This record from OQMD via LeMat-Bulk describes a relaxed structure of LaMgZnIr. The functional is GGA-PBE.

```
8
Lattice="2.721 -6.016 0.000 2.721 6.016 0.000 0.000 0.000 7.688" Properties=species:S:1:pos:R:3 pbc="T T T"
Ir 2.721 -4.714 7.658
Ir 2.721 4.714 7.658
La 2.721 -1.856 0.166
La 2.721 1.856 0.166
Mg 2.721 -4.355 5.083
Mg 2.721 4.355 5.083
Zn 2.721 -4.583 2.469
Zn 2.721 4.583 2.469
```

Calculated values
SG	Cmm2 (35)


# 4
This record from OQMD via LeMat-Bulk describes a relaxed structure of SnIr17. The functional is GGA-PBE.

```
36
Lattice="-3.537 2.164 -2.263 -3.576 -3.437 2.304 -3.579 20.890 25.601" Properties=species:S:1:pos:R:3 pbc="T T T"
Ir -2.891 4.693 5.757
Ir -3.802 6.626 4.065
Ir -5.544 4.951 5.187
Ir -3.757 3.636 9.327
Ir -5.495 7.528 5.944
Ir -4.635 5.591 7.662
Ir -6.408 3.887 8.804
Ir -1.896 7.983 8.965
Ir -3.683 6.266 10.116
Ir -6.340 6.486 9.569
Ir -4.567 8.225 8.423
Ir -5.409 7.174 12.039
Ir -4.496 10.834 9.187
Ir -6.280 9.119 10.337
Ir -3.624 8.907 10.904
Ir -4.471 7.862 14.521
Ir -3.558 11.527 11.669
Ir -5.346 9.809 12.821
Ir -6.221 11.755 11.122
Ir -7.068 10.710 14.739
Ir -4.412 10.498 15.305
Ir -6.197 8.783 16.455
Ir -5.283 12.443 13.603
Ir -6.125 11.392 17.219
Ir -4.352 13.131 16.073
Ir -7.009 13.351 15.526
Ir -8.796 11.634 16.677
Ir -4.284 15.730 16.838
Ir -6.057 14.026 17.980
Ir -5.197 12.089 19.698
Ir -6.935 15.981 16.315
Ir -5.148 14.666 20.455
Ir -6.890 12.991 21.578
Ir -7.801 14.924 19.885
Sn -4.626 2.626 6.472
Sn -6.067 16.991 19.170
```

Calculated values
SG	P2_1/m (11)


Record order is preserved below.
E_tot: -3.900 -5.624 -4.212 -8.462 eV/atom